Entry i
Density functional theory data (GGA-PBE) for crystalline BiTePt3 at its relaxed geometry.

Summary:
* SG: Pm-3m (221)
* size of the total moment: 0.0 μB per cell
* calculated density: 12.31 Mg/m³

Unit cell a=4.9912 b=4.9912 c=4.9912 alpha=90.00 beta=90.00 gamma=90.00
Closest atoms and distances in Å follow each position.
Fractional positions:
Te: 0.0000 0.0000 0.0000  6 Pt 2.50
Bi: 0.5000 0.5000 0.5000  12 Pt 3.53
Pt: 0.0000 0.0000 0.5000  2 Te 2.50
Pt: 0.5000 0.0000 0.0000  2 Te 2.50
Pt: 0.0000 0.5000 0.0000  2 Te 2.50



Entry ii
Density functional theory data (GGA-PBE) for crystalline BiTePt3 at its relaxed geometry.

Summary:
* SG: Pm-3m (221)
* size of the total moment: 0.0 μB per cell
* calculated density: 11.52 Mg/m³

Unit cell a=5.1026 b=5.1026 c=5.1026 alpha=90.00 beta=90.00 gamma=90.00
Closest atoms and distances in Å follow each position.
Fractional positions:
Pt: 0.5000 0.0000 0.0000  2 Bi 2.55
Te: 0.5000 0.5000 0.5000  12 Pt 3.61
Pt: 0.0000 0.5000 0.0000  2 Bi 2.55
Pt: 0.0000 0.0000 0.5000  2 Bi 2.55
Bi: 0.0000 0.0000 0.0000  6 Pt 2.55



Least stable structure: entry ii